1.
LaTa3Os | PBE | optimized geometry

Calculated values
For the energy of formation from the pure elements, the calculation gives 16.94 kcal/mol of atoms. For the magnetization, the calculation gives 0.00 μB/cell. The space group is Pm-3m. For the relative energy among the computed polymorphs, the calculation gives 0.000 eV per atom. The value obtained for the volume is 122 Å³/cell.

Cell and atoms, written as POSCAR:
```
LaTa3Os
1.0
4.958 0.000 0.000
0.000 4.958 0.000
0.000 0.000 4.958
La Ta Os
1 3 1
direct
0.000 0.000 0.000 La
0.000 0.500 0.500 Ta
0.500 0.000 0.500 Ta
0.500 0.500 0.000 Ta
0.500 0.500 0.500 Os
```

---

2.
La2TaOs | PBE | optimized geometry

Calculated values
For the energy of formation from the pure elements, the calculation gives 12.70 kcal/mol of atoms. For the magnetization, the calculation gives 0.00 μB/cell. The space group is P2/m. For the relative energy among the computed polymorphs, the calculation gives 0.543 eV per atom. The value obtained for the volume is 89 Å³/cell.

Cell and atoms, written as POSCAR:
```
La2TaOs
1.0
3.154 0.000 0.000
0.000 5.025 0.000
-1.139 0.000 5.643
La Ta Os
2 1 1
direct
0.195 0.000 0.261 La
0.805 0.000 0.739 La
0.500 0.500 0.000 Ta
0.000 0.500 0.500 Os
```

---

3.
LaTaOs | PBE | optimized geometry

Calculated values
For the energy of formation from the pure elements, the calculation gives 1.04 kcal/mol of atoms. For the magnetization, the calculation gives 0.00 μB/cell. The space group is I4mm. For the relative energy among the computed polymorphs, the calculation gives 0.232 eV per atom. The value obtained for the volume is 132 Å³/cell.

Cell and atoms, written as POSCAR:
```
LaTaOs
1.0
3.259 0.000 0.000
0.000 3.259 0.000
0.000 0.000 12.390
La Ta Os
2 2 2
direct
0.000 0.000 0.000 La
0.500 0.500 0.500 La
0.000 0.000 0.290 Ta
0.500 0.500 0.790 Ta
0.000 0.000 0.688 Os
0.500 0.500 0.188 Os
```

---

4.
LaTaOs | PBE | optimized geometry

Calculated values
For the energy of formation from the pure elements, the calculation gives 10.14 kcal/mol of atoms. For the magnetization, the calculation gives 0.00 μB/cell. The space group is F-43m. For the relative energy among the computed polymorphs, the calculation gives 0.627 eV per atom. The value obtained for the volume is 288 Å³/cell.

Cell and atoms, written as POSCAR:
```
LaTaOs
1.0
6.604 0.000 0.000
0.000 6.604 0.000
0.000 0.000 6.604
La Ta Os
4 4 4
direct
0.000 0.000 0.000 La
0.000 0.500 0.500 La
0.500 0.000 0.500 La
0.500 0.500 0.000 La
0.000 0.000 0.500 Ta
0.000 0.500 0.000 Ta
0.500 0.000 0.000 Ta
0.500 0.500 0.500 Ta
0.250 0.250 0.750 Os
0.250 0.750 0.250 Os
0.750 0.250 0.250 Os
0.750 0.750 0.750 Os
```

---

5.
La4TaOs | PBE | optimized geometry

Calculated values
For the energy of formation from the pure elements, the calculation gives 27.79 kcal/mol of atoms. For the magnetization, the calculation gives 1.89 μB/cell. The space group is F-43m. The value obtained for the volume is 162 Å³/cell.

Cell and atoms, written as POSCAR:
```
La4TaOs
1.0
0.000 4.326 4.326
4.326 0.000 4.326
4.326 4.326 0.000
La Ta Os
4 1 1
direct
0.124 0.124 0.124 La
0.124 0.124 0.628 La
0.124 0.628 0.124 La
0.628 0.124 0.124 La
0.500 0.500 0.500 Ta
0.750 0.750 0.750 Os
```

---

6.
LaTa3Os | PBE | optimized geometry

Calculated values
For the energy of formation from the pure elements, the calculation gives 61.40 kcal/mol of atoms. For the magnetization, the calculation gives 0.81 μB/cell. The space group is Pm-3m. For the relative energy among the computed polymorphs, the calculation gives 1.928 eV per atom. The value obtained for the volume is 110 Å³/cell.

Cell and atoms, written as POSCAR:
```
LaTa3Os
1.0
4.792 0.000 0.000
0.000 4.792 0.000
0.000 0.000 4.792
La Ta Os
1 3 1
direct
0.000 0.000 0.000 La
0.000 0.000 0.500 Ta
0.000 0.500 0.000 Ta
0.500 0.000 0.000 Ta
0.500 0.500 0.500 Os
```

---

7.
LaTaOs | PBE | optimized geometry

Calculated values
For the energy of formation from the pure elements, the calculation gives 0.36 kcal/mol of atoms. For the magnetization, the calculation gives 0.00 μB/cell. The space group is C2/m. For the relative energy among the computed polymorphs, the calculation gives 0.203 eV per atom. The value obtained for the volume is 248 Å³/cell.

Cell and atoms, written as POSCAR:
```
LaTaOs
1.0
10.551 0.000 0.000
0.000 3.216 0.000
-2.348 0.000 7.297
La Ta Os
4 4 4
direct
0.150 0.000 0.083 La
0.350 0.500 0.917 La
0.650 0.500 0.083 La
0.850 0.000 0.917 La
0.156 0.000 0.560 Ta
0.344 0.500 0.440 Ta
0.656 0.500 0.560 Ta
0.844 0.000 0.440 Ta
0.000 0.500 0.304 Os
0.000 0.500 0.696 Os
0.500 0.000 0.304 Os
0.500 0.000 0.696 Os
```

---

8.
La2TaOs | PBE | optimized geometry

Calculated values
For the energy of formation from the pure elements, the calculation gives 13.75 kcal/mol of atoms. For the magnetization, the calculation gives 0.00 μB/cell. The space group is I-4m2. For the relative energy among the computed polymorphs, the calculation gives 0.589 eV per atom. The value obtained for the volume is 184 Å³/cell.

Cell and atoms, written as POSCAR:
```
La2TaOs
1.0
4.259 0.000 0.000
0.000 4.259 0.000
0.000 0.000 10.141
La Ta Os
4 2 2
direct
0.000 0.000 0.000 La
0.000 0.500 0.250 La
0.500 0.000 0.750 La
0.500 0.500 0.500 La
0.000 0.000 0.500 Ta
0.500 0.500 0.000 Ta
0.000 0.500 0.750 Os
0.500 0.000 0.250 Os
```

---

9.
La2TaOs | PBE | optimized geometry

Calculated values
For the energy of formation from the pure elements, the calculation gives 16.22 kcal/mol of atoms. For the magnetization, the calculation gives 0.01 μB/cell. The space group is R-3m. For the relative energy among the computed polymorphs, the calculation gives 0.696 eV per atom. The value obtained for the volume is 289 Å³/cell.

Cell and atoms, written as POSCAR:
```
La2TaOs
1.0
3.358 0.000 0.000
-1.679 2.908 0.000
0.000 0.000 29.565
La Ta Os
6 3 3
direct
0.000 0.000 0.242 La
0.000 0.000 0.758 La
0.333 0.667 0.424 La
0.333 0.667 0.909 La
0.667 0.333 0.091 La
0.667 0.333 0.576 La
0.000 0.000 0.000 Ta
0.333 0.667 0.667 Ta
0.667 0.333 0.333 Ta
0.000 0.000 0.500 Os
0.333 0.667 0.167 Os
0.667 0.333 0.833 Os
```

---

10.
La2TaOs | PBE | optimized geometry

Calculated values
For the energy of formation from the pure elements, the calculation gives 4.87 kcal/mol of atoms. For the magnetization, the calculation gives 0.00 μB/cell. The space group is Pm. For the relative energy among the computed polymorphs, the calculation gives 0.204 eV per atom. The value obtained for the volume is 96 Å³/cell.

Cell and atoms, written as POSCAR:
```
La2TaOs
1.0
3.256 0.000 0.000
0.000 4.236 0.000
-1.095 0.000 6.982
La Ta Os
2 1 1
direct
0.000 0.000 0.000 La
0.348 0.500 0.680 La
0.827 0.000 0.407 Ta
0.471 0.500 0.265 Os
```

---

11.
LaTaOs | PBE | optimized geometry

Calculated values
For the energy of formation from the pure elements, the calculation gives 3.62 kcal/mol of atoms. For the magnetization, the calculation gives 0.00 μB/cell. The space group is P3m1. For the relative energy among the computed polymorphs, the calculation gives 0.344 eV per atom. The value obtained for the volume is 75 Å³/cell.

Cell and atoms, written as POSCAR:
```
LaTaOs
1.0
4.290 0.000 0.000
-2.145 3.715 0.000
0.000 0.000 4.679
La Ta Os
1 1 1
direct
0.000 0.000 0.000 La
0.667 0.333 0.514 Ta
0.333 0.667 0.438 Os
```

---

12.
LaTaOs | PBE | optimized geometry

Calculated values
For the energy of formation from the pure elements, the calculation gives -0.12 kcal/mol of atoms. For the magnetization, the calculation gives 0.00 μB/cell. The space group is P2_1/m. For the relative energy among the computed polymorphs, the calculation gives 0.182 eV per atom. The value obtained for the volume is 142 Å³/cell.

Cell and atoms, written as POSCAR:
```
LaTaOs
1.0
5.061 0.000 0.000
0.000 4.561 0.000
-0.987 0.000 6.133
La Ta Os
2 2 2
direct
0.245 0.250 0.397 La
0.755 0.750 0.603 La
0.321 0.750 0.965 Ta
0.679 0.250 0.035 Ta
0.096 0.250 0.849 Os
0.904 0.750 0.151 Os
```